i.
VASP calculation (PBE-GGA) on an optimized crystal structure of KHfScSe3.

```
12
Lattice="-6.691 2.799 3.174 5.395 -5.764 -0.585 5.514 4.372 7.769" Properties=species:S:1:pos:R:3 pbc="T T T"
Hf 0.393 -0.150 3.342
Hf 3.826 1.557 7.015
K 3.731 -2.515 2.303
K 0.488 3.923 8.054
Sc 0.000 0.000 0.000
Sc 2.757 2.186 3.884
Se -1.846 -0.232 2.127
Se -4.430 3.267 4.842
Se 0.377 1.530 5.258
Se 3.842 -0.122 5.099
Se 8.649 -1.860 5.516
Se 6.065 1.640 8.231
```

- volume (A^3/atom) = 27.65
- magnetic moment (μB per atom) = 0.01


ii.
VASP calculation (PBE-GGA) on an optimized crystal structure of KHfScSe3.

```
12
Lattice="-0.067 3.091 7.280 -2.531 0.000 -7.493 -7.829 -6.400 2.645" Properties=species:S:1:pos:R:3 pbc="T T T"
Hf 0.000 0.000 0.000
Hf -3.915 -3.200 1.322
K -2.655 0.700 4.161
K -7.772 -4.009 -1.729
Sc -3.344 -0.164 0.031
Sc -7.084 -3.145 2.400
Se -1.914 0.911 -1.806
Se -4.316 -1.384 -5.797
Se -5.201 -1.776 -0.695
Se -5.226 -1.533 3.127
Se -6.112 -1.926 8.229
Se -8.514 -4.221 4.237
```

- volume (A^3/atom) = 26.93
- magnetic moment (μB per atom) = 0.00


ii has the most favorable energy; the next structure is 1.5 kJ/mol of atoms above.


i.
VASP calculation (PBE-GGA) on an optimized crystal structure of KHfZrSe3.

```
12
Lattice="-0.897 2.407 -7.588 -2.510 -4.183 6.354 -5.380 8.096 3.205" Properties=species:S:1:pos:R:3 pbc="T T T"
Hf -1.704 -0.888 -0.617
Hf -4.393 3.160 0.986
K -3.441 -0.469 3.580
K -5.346 6.789 -1.608
Se -1.320 1.959 -5.774
Se -2.909 1.707 -1.023
Se -3.552 5.318 -4.444
Se -5.235 1.003 6.415
Se -5.878 4.613 2.994
Se -7.467 4.361 7.745
Zr -2.277 4.290 -6.488
Zr -6.510 2.030 8.459
```

- volume (A^3/atom) = 26.68
- magnetic moment (μB per atom) = 0.00


ii.
VASP calculation (PBE-GGA) on an optimized crystal structure of KHfZrSe3.

```
12
Lattice="2.029 -7.756 0.000 2.029 7.756 0.000 0.000 0.000 10.252" Properties=species:S:1:pos:R:3 pbc="T T T"
Hf 2.029 -0.270 2.563
Hf 2.029 0.270 7.689
K 2.029 4.015 2.563
K 2.029 -4.015 7.689
Se 2.029 -1.870 0.531
Se 2.029 -6.398 2.563
Se 2.029 -1.870 4.595
Se 2.029 1.870 5.657
Se 2.029 6.398 7.689
Se 2.029 1.870 9.721
Zr 0.000 0.000 0.000
Zr 0.000 0.000 5.126
```

- volume (A^3/atom) = 26.89
- magnetic moment (μB per atom) = 0.00


ii has the most favorable energy; the next structure is 3.0 kJ/mol of atoms above.


i.
VASP calculation (PBE-GGA) on an optimized crystal structure of KHfSi.

```
3
Lattice="0.667 -4.724 -0.763 -3.446 -2.608 -2.160 0.676 -1.649 -4.490" Properties=species:S:1:pos:R:3 pbc="T T T"
Hf -0.526 -2.245 -1.853
K -1.577 -6.736 -5.560
Si 0.000 0.000 0.000
```

- volume (A^3/atom) = 26.58
- magnetic moment (μB per atom) = 0.00


ii.
VASP calculation (PBE-GGA) on an optimized crystal structure of KHfSi.

```
3
Lattice="3.671 -3.112 -0.467 -0.517 -3.957 -2.731 2.348 -0.354 -4.212" Properties=species:S:1:pos:R:3 pbc="T T T"
Hf 1.376 -1.856 -1.853
K 0.000 0.000 0.000
Si 4.127 -5.567 -5.558
```

- volume (A^3/atom) = 26.65
- magnetic moment (μB per atom) = 0.14


i has the most favorable energy; the next structure is 94.7 kJ/mol of atoms above.


i.
VASP calculation (PBE-GGA) on an optimized crystal structure of KHfTa.

```
3
Lattice="0.000 3.551 3.551 3.551 0.000 3.551 3.551 3.551 0.000" Properties=species:S:1:pos:R:3 pbc="T T T"
Hf 1.776 1.776 1.776
K 5.327 5.327 5.327
Ta 0.000 0.000 0.000
```

- volume (A^3/atom) = 29.86
- magnetic moment (μB per atom) = 0.68


ii.
VASP calculation (PBE-GGA) on an optimized crystal structure of KHfTa.

```
3
Lattice="0.000 3.446 3.446 3.446 0.000 3.446 3.446 3.446 0.000" Properties=species:S:1:pos:R:3 pbc="T T T"
Hf 1.723 1.723 1.723
K 0.000 0.000 0.000
Ta 5.169 5.169 5.169
```

- volume (A^3/atom) = 27.28
- magnetic moment (μB per atom) = 0.00


i has the most favorable energy; the next structure is 55.8 kJ/mol of atoms above.


i.
VASP calculation (PBE-GGA) on an optimized crystal structure of KHfTl.

```
3
Lattice="-0.537 1.930 4.843 -3.193 -2.358 3.421 1.999 -2.594 4.091" Properties=species:S:1:pos:R:3 pbc="T T T"
Hf -0.433 -0.756 3.089
K -1.299 -2.267 9.266
Tl 0.000 0.000 0.000
```

- volume (A^3/atom) = 33.92
- magnetic moment (μB per atom) = 0.00


ii.
VASP calculation (PBE-GGA) on an optimized crystal structure of KHfTl.

```
3
Lattice="1.963 2.398 4.198 1.064 5.105 -0.171 -2.937 3.369 2.692" Properties=species:S:1:pos:R:3 pbc="T T T"
Hf 0.022 2.718 1.680
K 0.000 0.000 0.000
Tl 0.067 8.153 5.039
```

- volume (A^3/atom) = 33.48
- magnetic moment (μB per atom) = 0.03


i has the most favorable energy; the next structure is 51.3 kJ/mol of atoms above.


i.
VASP calculation (PBE-GGA) on an optimized crystal structure of KHfZn.

```
3
Lattice="1.848 -0.733 4.483 1.422 3.823 2.722 -2.589 1.288 3.960" Properties=species:S:1:pos:R:3 pbc="T T T"
Hf 0.000 0.000 0.000
K 0.170 1.095 2.791
Zn 0.510 3.284 8.373
```

- volume (A^3/atom) = 27.79
- magnetic moment (μB per atom) = 0.03


ii.
VASP calculation (PBE-GGA) on an optimized crystal structure of KHfZn.

```
3
Lattice="-4.024 -1.623 -2.324 -4.408 0.379 2.156 -3.312 3.209 -1.719" Properties=species:S:1:pos:R:3 pbc="T T T"
Hf -2.936 0.491 -0.472
K 0.000 0.000 0.000
Zn -8.808 1.474 -1.415
```

- volume (A^3/atom) = 28.10
- magnetic moment (μB per atom) = 0.00


i has the most favorable energy; the next structure is 37.8 kJ/mol of atoms above.